Entry 1:
LaTbGaSn after structural relaxation. Source: Alexandria via LeMat-Bulk, functional GGA-PBE.

Unit cell a=5.361 b=5.361 c=5.361 alpha=60.00 beta=60.00 gamma=60.00
Fractional coordinates of all 4 atoms:
1 Tb 0.500 0.500 0.500
2 Sn 0.250 0.250 0.250
3 Ga 0.750 0.750 0.750
4 La 0.000 0.000 0.000

The calculation puts the formation energy at -0.58 eV/atom. The spin magnetization is 0.0 μB/f.u. The calculation puts the relative energy among the computed polymorphs at 116 meV/atom.


Entry 2:
LaYGaSn after structural relaxation. Source: Alexandria via LeMat-Bulk, functional GGA-PBE.

Unit cell a=4.603 b=4.245 c=6.213 alpha=90.00 beta=111.74 gamma=90.00
Fractional coordinates of all 4 atoms:
1 La 0.138 0.000 0.277
2 Y 0.860 0.500 0.721
3 Ga 0.581 0.500 0.161
4 Sn 0.420 0.000 0.841

The calculation puts the formation energy at -0.71 eV/atom. The spin magnetization is 0.1 μB/f.u.